BaEuInWO6, optimized geometry, DFT PBE with a Hubbard U; VASP energy = -74.048 eV per cell; total magnetization = 8.0 μB per cell; D(E_F) = 1.067 states/eV per atom
1.0
0.0000 4.1591 4.1591
4.1591 0.0000 4.1591
4.1591 4.1591 0.0000
Ba Eu In W O
1 1 1 1 6
Direct
0.2500 0.2500 0.2500
0.7500 0.7500 0.7500
0.0000 0.0000 0.0000
0.5000 0.5000 0.5000
0.2589 0.7411 0.2589
0.7411 0.2589 0.7411
0.2589 0.7411 0.7411
0.7411 0.2589 0.2589
0.2589 0.2589 0.7411
0.7411 0.7411 0.2589